#A
A plane-wave DFT calculation with PBE was carried out for a relaxed structure of ScTcHg2.

Values from the calculation:
magnetization = 0.0001 μB/atom
density of states at the Fermi level = 0.91 states/eV per atom
symmetry = No. 139

Unit cell a=5.285 b=5.285 c=5.285 alpha=133.86 beta=133.86 gamma=67.30
Fractional positions:
Hg: 0.500 0.500 0.000
Hg: 0.000 0.000 0.000
Sc: 0.250 0.750 0.500
Tc: 0.750 0.250 0.500


#B
A plane-wave DFT calculation with PBE was carried out for a relaxed structure of ScTcHg2.

Values from the calculation:
magnetization = 0.3924 μB/atom
density of states at the Fermi level = 0.92 states/eV per atom
symmetry = No. 123

Unit cell a=3.131 b=3.131 c=7.916 alpha=90.00 beta=90.00 gamma=90.02
Fractional positions:
Hg: 0.000 0.000 0.989
Sc: 0.500 0.500 0.250
Tc: 0.500 0.500 0.750
Hg: 0.000 0.000 0.511


Energies relative to the most stable structure, in kJ/mol of atoms: #A 0.0; #B 17.7.


#A
A plane-wave DFT calculation with PBE was carried out for a relaxed structure of Sc2HgTe.

Values from the calculation:
magnetization = 0.2168 μB/atom
density of states at the Fermi level = 0.93 states/eV per atom
symmetry = No. 139

Unit cell a=5.292 b=5.292 c=5.292 alpha=126.90 beta=126.90 gamma=78.41
Fractional positions:
Sc: 0.000 0.000 0.000
Hg: 0.750 0.250 0.500
Te: 0.250 0.750 0.500
Sc: 0.500 0.500 0.000


#B
A plane-wave DFT calculation with PBE was carried out for a relaxed structure of Sc2HgTe.

Values from the calculation:
magnetization = 0.2786 μB/atom
density of states at the Fermi level = 0.88 states/eV per atom
symmetry = No. 123

Unit cell a=3.684 b=3.684 c=6.767 alpha=90.00 beta=90.00 gamma=90.00
Fractional positions:
Sc: 0.000 0.000 0.496
Sc: 0.000 0.000 0.004
Hg: 0.500 0.500 0.750
Te: 0.500 0.500 0.250


#C
A plane-wave DFT calculation with PBE was carried out for a relaxed structure of Sc2HgTe.

Values from the calculation:
magnetization = 0.0000 μB/atom
density of states at the Fermi level = 0.57 states/eV per atom
symmetry = No. 12

Unit cell a=3.929 b=3.929 c=7.782 alpha=75.45 beta=75.45 gamma=59.85
Fractional positions:
Sc: 0.499 0.499 0.501
Te: 0.750 0.750 0.750
Hg: 0.250 0.250 0.250
Sc: 0.001 0.001 0.999


#D
A plane-wave DFT calculation with PBE was carried out for a relaxed structure of Sc2HgTe.

Values from the calculation:
magnetization = 0.0000 μB/atom
density of states at the Fermi level = 0.60 states/eV per atom
symmetry = No. 166

Unit cell a=9.085 b=9.085 c=9.085 alpha=25.64 beta=25.64 gamma=25.64
Fractional positions:
Te: 0.000 0.000 0.000
Sc: 0.898 0.898 0.898
Hg: 0.500 0.500 0.500
Sc: 0.102 0.102 0.102


Energies relative to the most stable structure, in kJ/mol of atoms: #A 16.9; #B 9.1; #C 0.0; #D 51.9.


#A
A plane-wave DFT calculation with PBE was carried out for a relaxed structure of ThScHg6.

Values from the calculation:
magnetization = 0.0000 μB/atom
density of states at the Fermi level = 0.90 states/eV per atom
symmetry = No. 123

Unit cell a=4.766 b=4.766 c=8.551 alpha=90.00 beta=90.00 gamma=90.00
Fractional positions:
Hg: 0.500 0.000 0.735
Hg: 0.000 0.500 0.265
Hg: 0.500 0.500 0.000
Sc: 0.000 0.000 0.500
Hg: 0.500 0.000 0.265
Th: 0.000 0.000 0.000
Hg: 0.500 0.500 0.500
Hg: 0.000 0.500 0.735


#B
A plane-wave DFT calculation with PBE was carried out for a relaxed structure of ThScHg6.

Values from the calculation:
magnetization = 0.0000 μB/atom
density of states at the Fermi level = 0.81 states/eV per atom
symmetry = No. 187

Unit cell a=4.944 b=6.705 c=6.705 alpha=119.96 beta=90.00 gamma=90.00
Fractional positions:
Hg: 0.000 0.578 0.422
Hg: 0.000 0.578 0.906
Hg: 0.500 0.910 0.571
Hg: 0.500 0.910 0.090
Sc: 0.500 0.416 0.584
Hg: 0.500 0.429 0.090
Th: 0.000 0.083 0.917
Hg: 0.000 0.094 0.422


Energies relative to the most stable structure, in kJ/mol of atoms: #A 1.1; #B 0.0.


#A
A plane-wave DFT calculation with PBE was carried out for a relaxed structure of ThScHg4.

Values from the calculation:
magnetization = 0.0000 μB/atom
density of states at the Fermi level = 0.58 states/eV per atom
symmetry = No. 12

Unit cell a=3.433 b=6.335 c=8.182 alpha=114.13 beta=77.89 gamma=74.28
Fractional positions:
Hg: 0.643 0.028 0.685
Th: 0.500 0.500 0.500
Hg: 0.192 0.471 0.145
Hg: 0.357 0.972 0.315
Hg: 0.808 0.529 0.855
Sc: 0.000 0.000 0.000


#B
A plane-wave DFT calculation with PBE was carried out for a relaxed structure of ThScHg4.

Values from the calculation:
magnetization = 0.0661 μB/atom
density of states at the Fermi level = 0.64 states/eV per atom
symmetry = No. 10

Unit cell a=3.328 b=4.975 c=9.246 alpha=90.00 beta=69.77 gamma=90.00
Fractional positions:
Hg: 0.175 0.997 0.822
Hg: 0.827 0.997 0.174
Hg: 0.687 0.497 0.339
Sc: 0.001 0.997 0.498
Hg: 0.316 0.497 0.657
Th: 0.501 0.497 0.998


Energies relative to the most stable structure, in kJ/mol of atoms: #A 2.5; #B 0.0.


#A
A plane-wave DFT calculation with PBE was carried out for a relaxed structure of ScTiHg.

Values from the calculation:
magnetization = 0.0000 μB/atom
density of states at the Fermi level = 1.21 states/eV per atom
symmetry = No. 59

Unit cell a=3.575 b=3.561 c=9.704 alpha=90.00 beta=90.00 gamma=90.00
Fractional positions:
Sc: 0.750 0.250 0.258
Ti: 0.750 0.250 0.559
Ti: 0.250 0.750 0.441
Hg: 0.750 0.250 0.906
Sc: 0.250 0.750 0.742
Hg: 0.250 0.750 0.094


#B
A plane-wave DFT calculation with PBE was carried out for a relaxed structure of ScTiHg.

Values from the calculation:
magnetization = 0.0000 μB/atom
density of states at the Fermi level = 0.71 states/eV per atom
symmetry = No. 107

Unit cell a=3.173 b=3.173 c=6.471 alpha=104.19 beta=104.19 gamma=90.00
Fractional positions:
Sc: 0.005 0.005 0.011
Ti: 0.668 0.668 0.335
Hg: 0.327 0.327 0.654


Energies relative to the most stable structure, in kJ/mol of atoms: #A 0.0; #B 1.4.


#A
A plane-wave DFT calculation with PBE was carried out for a relaxed structure of ScTi2Hg2.

Values from the calculation:
magnetization = 0.4331 μB/atom
density of states at the Fermi level = 1.14 states/eV per atom
symmetry = No. 127

Unit cell a=7.765 b=7.765 c=3.412 alpha=90.00 beta=90.00 gamma=90.00
Fractional positions:
Hg: 0.134 0.366 0.000
Ti: 0.834 0.334 0.500
Hg: 0.634 0.134 0.000
Ti: 0.334 0.166 0.500
Hg: 0.366 0.866 0.000
Sc: 0.000 0.000 0.000
Hg: 0.866 0.634 0.000
Ti: 0.666 0.834 0.500
Sc: 0.500 0.500 0.000
Ti: 0.166 0.666 0.500


#B
A plane-wave DFT calculation with PBE was carried out for a relaxed structure of ScTi2Hg2.

Values from the calculation:
magnetization = 0.5125 μB/atom
density of states at the Fermi level = 0.97 states/eV per atom
symmetry = No. 127

Unit cell a=8.155 b=8.155 c=3.059 alpha=90.00 beta=90.00 gamma=90.00
Fractional positions:
Sc: 0.500 0.500 0.000
Hg: 0.317 0.183 0.500
Sc: 0.000 0.000 0.000
Ti: 0.887 0.613 0.000
Hg: 0.183 0.683 0.500
Ti: 0.613 0.113 0.000
Hg: 0.817 0.317 0.500
Ti: 0.387 0.887 0.000
Hg: 0.683 0.817 0.500
Ti: 0.113 0.387 0.000


Energies relative to the most stable structure, in kJ/mol of atoms: #A 0.8; #B 0.0.